(1)
Density functional theory data (GGA-PBE) for a relaxed KCd6In4 crystal.

Values from the calculation:
M_tot	0.0	Bohr magnetons per cell
space-group type	No. 187
density	6.435	g cm⁻³
calculated formation energy	-26	meV per atom

a = 8.3778 Å, b = 8.3778 Å, c = 4.9790 Å
α = 90.00°, β = 90.00°, γ = 120.00°
Sites, in units of the cell vectors:
K: 0.0000 0.0000 0.0000
Cd: 0.2034 0.4067 0.5000
Cd: 0.2034 0.7966 0.5000
Cd: 0.5386 0.0771 0.0000
Cd: 0.5386 0.4614 0.0000
Cd: 0.5933 0.7966 0.5000
Cd: 0.9229 0.4614 0.0000
In: 0.3333 0.6667 0.0000
In: 0.4052 0.2026 0.5000
In: 0.7974 0.2026 0.5000
In: 0.7974 0.5948 0.5000

=====

(2)
Density functional theory data (GGA-PBE) for a relaxed KCd2In crystal.

Values from the calculation:
M_tot	0.0	Bohr magnetons per cell
space-group type	No. 123
density	5.285	g cm⁻³
calculated formation energy	40	meV per atom

a = 5.0388 Å, b = 5.0388 Å, c = 4.6869 Å
α = 90.00°, β = 90.00°, γ = 90.00°
Sites, in units of the cell vectors:
K: 0.0000 0.0000 0.0000
Cd: 0.0000 0.5000 0.5000
Cd: 0.5000 0.0000 0.5000
In: 0.5000 0.5000 0.0000

=====

(3)
Density functional theory data (GGA-PBE) for a relaxed KCdIn2 crystal.

Values from the calculation:
M_tot	0.0	Bohr magnetons per cell
space-group type	No. 129
density	5.110	g cm⁻³
calculated formation energy	-37	meV per atom

a = 4.5880 Å, b = 4.5880 Å, c = 11.7675 Å
α = 90.00°, β = 90.00°, γ = 90.00°
Sites, in units of the cell vectors:
K: 0.2500 0.2500 0.2322
K: 0.7500 0.7500 0.7678
Cd: 0.2500 0.2500 0.6740
Cd: 0.7500 0.7500 0.3260
In: 0.2500 0.2500 0.9385
In: 0.2500 0.7500 0.5000
In: 0.7500 0.2500 0.5000
In: 0.7500 0.7500 0.0615